# 1
The following is a DFT calculation (GGA-PBE) of HfSn2Pd after structural relaxation.

Results
ΔH_f (0 K), meV per atom: -82
Calculated total energy, eV/atom: -5.870

abc: 4.3192 4.3192 10.2715
angles: 77.86 77.86 90.00
With the nearest neighbours (Å) after each atom.
Sites, in units of the cell vectors:
Hf (0.0000, 0.0000, 0.0000)  4 Sn 2.91, 4 Pd 3.05
Hf (0.7500, 0.2500, 0.5000)  4 Sn 2.91, 4 Pd 3.05
Sn (0.6129, 0.1250, 0.2500)  2 Pd 2.87, 2 Hf 2.91, 4 Sn 2.98-3.13
Sn (0.1371, 0.6250, 0.2500)  2 Pd 2.87, 2 Hf 2.91, 4 Sn 2.98-3.13
Sn (0.3750, 0.3871, 0.7500)  2 Pd 2.87, 2 Hf 2.91, 4 Sn 2.98-3.13
Sn (0.8750, 0.8629, 0.7500)  2 Pd 2.87, 2 Hf 2.91, 4 Sn 2.98-3.13
Pd (0.5000, 0.5000, 0.0000)  4 Sn 2.87, 4 Hf 3.05
Pd (0.2500, 0.7500, 0.5000)  4 Sn 2.87, 4 Hf 3.05

=====

# 2
The following is a DFT calculation (GGA-PBE) of HfSn2Pd after structural relaxation.

Results
ΔH_f (0 K), meV per atom: -137
Calculated total energy, eV/atom: -5.925

abc: 4.9016 4.9016 4.9016
angles: 60.00 60.00 60.00
With the nearest neighbours (Å) after each atom.
Sites, in units of the cell vectors:
Hf (0.5000, 0.5000, 0.5000)  8 Sn 3.00
Sn (0.2500, 0.2500, 0.2500)  4 Hf 3.00, 4 Pd 3.00
Sn (0.7500, 0.7500, 0.7500)  4 Hf 3.00, 4 Pd 3.00
Pd (0.0000, 0.0000, 0.0000)  8 Sn 3.00

=====

# 3
The following is a DFT calculation (GGA-PBE) of Hf2Sn2Pd5 after structural relaxation.

Results
ΔH_f (0 K), meV per atom: -440
Calculated total energy, eV/atom: -6.426

abc: 8.7372 5.6019 8.6528
angles: 108.89 120.32 90.00
With the nearest neighbours (Å) after each atom.
Sites, in units of the cell vectors:
Hf (0.1078, 0.6925, 0.2546)  6 Pd 2.70-2.99
Hf (0.8922, 0.4379, 0.7454)  6 Pd 2.70-2.99
Hf (0.6467, 0.1925, 0.2546)  6 Pd 2.70-2.99
Hf (0.3533, 0.9379, 0.7454)  6 Pd 2.70-2.99
Sn (0.0000, 0.0652, 0.0000)  4 Pd 2.67
Sn (0.5000, 0.5652, 0.0000)  4 Pd 2.67
Sn (0.2716, 0.3154, 0.5000)  6 Pd 2.76-2.79
Sn (0.7284, 0.8154, 0.5000)  6 Pd 2.76-2.79
Pd (0.2050, 0.7701, 0.9100)  2 Sn 2.67, 2 Hf 2.70-2.71, 4 Pd 2.74-2.84
Pd (0.7950, 0.8601, 0.0900)  2 Sn 2.67, 2 Hf 2.70-2.71, 4 Pd 2.74-2.84
Pd (0.2050, 0.2701, 0.9100)  2 Sn 2.67, 2 Hf 2.70-2.71, 4 Pd 2.74-2.84
Pd (0.7950, 0.3601, 0.0900)  2 Sn 2.67, 2 Hf 2.70-2.71, 4 Pd 2.74-2.84
Pd (0.4025, 0.9680, 0.3053)  4 Pd 2.70-2.80, 2 Hf 2.76, 2 Sn 2.79
Pd (0.5975, 0.6627, 0.6947)  4 Pd 2.70-2.80, 2 Hf 2.76, 2 Sn 2.79
Pd (0.4028, 0.4680, 0.3053)  4 Pd 2.70-2.80, 2 Hf 2.76, 2 Sn 2.79
Pd (0.5972, 0.1627, 0.6947)  4 Pd 2.70-2.80, 2 Hf 2.76, 2 Sn 2.79
Pd (0.9995, 0.5642, 0.5000)  2 Sn 2.76, 4 Pd 2.80-2.84, 4 Hf 2.98-2.99
Pd (0.0005, 0.0642, 0.5000)  2 Sn 2.76, 4 Pd 2.80-2.84, 4 Hf 2.98-2.99

=====

# 4
The following is a DFT calculation (GGA-PBE) of HfSn2Pd after structural relaxation.

Results
ΔH_f (0 K), meV per atom: -282
Calculated total energy, eV/atom: -6.070

abc: 3.2062 3.2062 7.9240
angles: 90.00 90.00 90.00
With the nearest neighbours (Å) after each atom.
Sites, in units of the cell vectors:
Hf (0.5000, 0.5000, 0.5000)  8 Sn 3.12, 4 Hf 3.21
Sn (0.0000, 0.0000, 0.7706)  4 Pd 2.91, 4 Hf 3.12, 4 Sn 3.21
Sn (0.0000, 0.0000, 0.2294)  4 Pd 2.91, 4 Hf 3.12, 4 Sn 3.21
Pd (0.5000, 0.5000, 0.0000)  8 Sn 2.91, 4 Pd 3.21

=====

# 5
The following is a DFT calculation (GGA-PBE) of Hf8Sn2Pd after structural relaxation.

Results
ΔH_f (0 K), meV per atom: -135
Calculated total energy, eV/atom: -8.573

abc: 4.6817 5.8900 9.5460
angles: 106.04 104.19 90.00
With the nearest neighbours (Å) after each atom.
Sites, in units of the cell vectors:
Hf (0.4123, 0.4986, 0.8246)  1 Pd 2.94, 8 Hf 3.09-3.24, 2 Sn 3.10
Hf (0.6480, 0.0469, 0.2960)  1 Pd 2.67, 2 Sn 2.99
Hf (0.7691, 0.6570, 0.5382)  5 Hf 2.94-3.22, 4 Sn 2.96-3.17
Hf (0.9771, 0.2382, 0.9542)  2 Pd 2.82, 1 Sn 2.92, 2 Hf 2.96-3.15
Hf (0.2309, 0.3430, 0.4618)  5 Hf 2.94-3.22, 4 Sn 2.96-3.17
Hf (0.3520, 0.9531, 0.7040)  1 Pd 2.67, 2 Sn 2.99
Hf (0.5877, 0.5014, 0.1754)  1 Pd 2.94, 8 Hf 3.09-3.24, 2 Sn 3.10
Hf (0.0229, 0.7618, 0.0458)  2 Pd 2.82, 1 Sn 2.92, 2 Hf 2.96-3.15
Sn (0.8174, 0.2193, 0.6349)  10 Hf 2.92-3.17
Sn (0.1826, 0.7807, 0.3651)  10 Hf 2.92-3.17
Pd (0.5000, 0.0000, 0.0000)  8 Hf 2.67-2.94

=====

# 6
The following is a DFT calculation (GGA-PBE) of HfSn2Pd2 after structural relaxation.

Results
ΔH_f (0 K), meV per atom: -321
Calculated total energy, eV/atom: -5.990

abc: 7.9244 7.9244 3.1222
angles: 90.00 90.00 90.00
With the nearest neighbours (Å) after each atom.
Sites, in units of the cell vectors:
Hf (0.0000, 0.0000, 0.0000)  4 Sn 3.02, 2 Hf 3.12
Hf (0.5000, 0.5000, 0.0000)  4 Sn 3.02, 2 Hf 3.12
Sn (0.3510, 0.8510, 0.0000)  6 Pd 2.76-2.83, 2 Hf 3.02
Sn (0.8510, 0.6490, 0.0000)  6 Pd 2.76-2.83, 2 Hf 3.02
Sn (0.6490, 0.1490, 0.0000)  6 Pd 2.76-2.83, 2 Hf 3.02
Sn (0.1490, 0.3510, 0.0000)  6 Pd 2.76-2.83, 2 Hf 3.02
Pd (0.1483, 0.6483, 0.5000)  6 Sn 2.76-2.83
Pd (0.6483, 0.8517, 0.5000)  6 Sn 2.76-2.83
Pd (0.8517, 0.3517, 0.5000)  6 Sn 2.76-2.83
Pd (0.3517, 0.1483, 0.5000)  6 Sn 2.76-2.83

=====

# 7
The following is a DFT calculation (GGA-PBE) of HfSn2Pd8 after structural relaxation.

Results
ΔH_f (0 K), meV per atom: -579
Calculated total energy, eV/atom: -5.988

abc: 4.1088 6.5484 7.5805
angles: 109.14 105.72 90.00
With the nearest neighbours (Å) after each atom.
Sites, in units of the cell vectors:
Hf (0.5000, 0.0000, 0.0000)  12 Pd 2.78-2.91
Sn (0.7904, 0.3388, 0.5807)  9 Pd 2.67-2.88
Sn (0.2096, 0.6612, 0.4193)  9 Pd 2.67-2.88
Pd (0.4059, 0.5489, 0.8117)  2 Sn 2.72, 6 Pd 2.79-3.03, 1 Hf 2.80
Pd (0.6757, 0.9219, 0.3515)  3 Sn 2.67-2.82, 1 Hf 2.78, 7 Pd 2.85-2.91
Pd (0.8559, 0.8002, 0.7117)  7 Pd 2.81-3.00, 3 Sn 2.84-2.88, 2 Hf 2.91
Pd (0.9633, 0.2644, 0.9266)  1 Sn 2.73, 7 Pd 2.79-2.91, 2 Hf 2.85
Pd (0.1441, 0.1998, 0.2883)  7 Pd 2.81-3.00, 3 Sn 2.84-2.88, 2 Hf 2.91
Pd (0.3243, 0.0781, 0.6485)  3 Sn 2.67-2.82, 1 Hf 2.78, 7 Pd 2.85-2.91
Pd (0.5941, 0.4511, 0.1883)  2 Sn 2.72, 6 Pd 2.79-3.03, 1 Hf 2.80
Pd (0.0367, 0.7356, 0.0734)  1 Sn 2.73, 7 Pd 2.79-2.91, 2 Hf 2.85

=====

# 8
The following is a DFT calculation (GGA-PBE) of Hf6Sn3Pd after structural relaxation.

Results
ΔH_f (0 K), meV per atom: -188
Calculated total energy, eV/atom: -7.880

abc: 5.7511 9.4128 9.4128
angles: 120.23 90.00 90.00
With the nearest neighbours (Å) after each atom.
Sites, in units of the cell vectors:
Hf (0.0845, 0.7604, 0.6117)  6 Sn 3.10-3.37, 4 Hf 3.12-3.44, 1 Pd 3.20
Hf (0.5845, 0.6117, 0.7604)  6 Sn 3.10-3.37, 4 Hf 3.12-3.44, 1 Pd 3.20
Hf (0.2641, 0.4146, 0.9178)  1 Pd 2.82, 2 Sn 2.89-3.00, 2 Hf 3.11-3.12
Hf (0.7641, 0.9178, 0.4146)  1 Pd 2.82, 2 Sn 2.89-3.00, 2 Hf 3.11-3.12
Hf (0.3010, 0.0176, 0.9824)  2 Pd 2.72-2.83, 4 Sn 2.85-2.94, 2 Hf 2.93
Hf (0.7252, 0.2752, 0.7248)  1 Pd 2.64
Hf (0.2252, 0.7248, 0.2752)  1 Pd 2.64
Hf (0.8010, 0.9824, 0.0176)  2 Pd 2.72-2.83, 4 Sn 2.85-2.94, 2 Hf 2.93
Hf (0.2641, 0.0822, 0.5854)  1 Pd 2.82, 2 Sn 2.89-3.00, 2 Hf 3.11-3.12
Hf (0.7641, 0.5854, 0.0822)  1 Pd 2.82, 2 Sn 2.89-3.00, 2 Hf 3.11-3.12
Hf (0.0845, 0.3883, 0.2396)  6 Sn 3.10-3.37, 4 Hf 3.12-3.44, 1 Pd 3.20
Hf (0.5845, 0.2396, 0.3883)  6 Sn 3.10-3.37, 4 Hf 3.12-3.44, 1 Pd 3.20
Sn (0.5951, 0.9182, 0.7044)  6 Hf 2.85-3.18, 1 Pd 2.93, 1 Sn 2.94
Sn (0.0951, 0.7044, 0.9182)  6 Hf 2.85-3.18, 1 Pd 2.93, 1 Sn 2.94
Sn (0.0844, 0.4147, 0.5853)  2 Sn 2.94, 3 Hf 3.07-3.14
Sn (0.5844, 0.5853, 0.4147)  2 Sn 2.94, 3 Hf 3.07-3.14
Sn (0.0951, 0.0818, 0.2956)  6 Hf 2.85-3.18, 1 Pd 2.93, 1 Sn 2.94
Sn (0.5951, 0.2956, 0.0818)  6 Hf 2.85-3.18, 1 Pd 2.93, 1 Sn 2.94
Pd (0.9874, 0.1427, 0.8573)  5 Hf 2.64-2.83, 2 Sn 2.93
Pd (0.4874, 0.8573, 0.1427)  5 Hf 2.64-2.83, 2 Sn 2.93